(1)
# PrEr2HfN4

A relaxed PrEr2HfN4 crystal (PBE-GGA, Alexandria).

symmetry: P2/m
uncorrected formation energy: -155.9 kJ per mole of atoms
calculated volume: 114.3 Å³/cell
ρ: 10.3 Mg/m³

Cell and atoms, written as CIF:
```
data_PrEr2HfN4
_cell_length_a 3.421
_cell_length_b 5.985
_cell_length_c 5.912
_cell_angle_alpha 109.21
_cell_angle_beta 90.00
_cell_angle_gamma 90.00
_symmetry_space_group_name_H-M 'P 1'
_symmetry_Int_Tables_number 1
loop_
_symmetry_equiv_pos_as_xyz
'x,y,z'
loop_
_atom_site_label
_atom_site_type_symbol
_atom_site_fract_x
_atom_site_fract_y
_atom_site_fract_z
_atom_site_occupancy
Er1 Er 0.500 0.000 0.500 1
Er2 Er 0.000 0.500 0.500 1
Pr1 Pr 0.500 0.500 0.000 1
N1 N 0.500 0.228 0.240 1
N2 N 0.000 0.225 0.749 1
N3 N 0.000 0.775 0.251 1
N4 N 0.500 0.772 0.760 1
Hf1 Hf 0.000 0.000 0.000 1
```



(2)
# PrErHfN3

A relaxed PrErHfN3 crystal (PBE-GGA, Alexandria).

symmetry: P2_1/m
uncorrected formation energy: -141.2 kJ per mole of atoms
calculated volume: 173.8 Å³/cell
ρ: 10.1 Mg/m³

Cell and atoms, written as CIF:
```
data_PrErHfN3
_cell_length_a 3.421
_cell_length_b 5.795
_cell_length_c 8.959
_cell_angle_alpha 101.92
_cell_angle_beta 90.00
_cell_angle_gamma 90.00
_symmetry_space_group_name_H-M 'P 1'
_symmetry_Int_Tables_number 1
loop_
_symmetry_equiv_pos_as_xyz
'x,y,z'
loop_
_atom_site_label
_atom_site_type_symbol
_atom_site_fract_x
_atom_site_fract_y
_atom_site_fract_z
_atom_site_occupancy
Hf1 Hf 0.250 0.764 0.040 1
Hf2 Hf 0.750 0.236 0.960 1
Pr1 Pr 0.750 0.656 0.697 1
Pr2 Pr 0.250 0.344 0.303 1
N1 N 0.750 0.244 0.502 1
N2 N 0.250 0.450 0.859 1
N3 N 0.250 0.969 0.862 1
N4 N 0.750 0.550 0.141 1
N5 N 0.750 0.031 0.138 1
N6 N 0.250 0.756 0.498 1
Er1 Er 0.750 0.857 0.356 1
Er2 Er 0.250 0.143 0.644 1
```



(3)
# Pr2ErHfN4

A relaxed Pr2ErHfN4 crystal (PBE-GGA, Alexandria).

symmetry: P2/m
uncorrected formation energy: -148.7 kJ per mole of atoms
calculated volume: 119.9 Å³/cell
ρ: 9.5 Mg/m³

Cell and atoms, written as CIF:
```
data_Pr2ErHfN4
_cell_length_a 3.458
_cell_length_b 6.108
_cell_length_c 6.001
_cell_angle_alpha 71.08
_cell_angle_beta 90.00
_cell_angle_gamma 90.00
_symmetry_space_group_name_H-M 'P 1'
_symmetry_Int_Tables_number 1
loop_
_symmetry_equiv_pos_as_xyz
'x,y,z'
loop_
_atom_site_label
_atom_site_type_symbol
_atom_site_fract_x
_atom_site_fract_y
_atom_site_fract_z
_atom_site_occupancy
Hf1 Hf 0.500 0.500 0.000 1
N1 N 0.500 0.720 0.245 1
N2 N 0.500 0.280 0.755 1
N3 N 0.000 0.715 0.773 1
N4 N 0.000 0.285 0.227 1
Pr1 Pr 0.500 0.000 0.500 1
Pr2 Pr 0.000 0.000 0.000 1
Er1 Er 0.000 0.500 0.500 1
```



(4)
# ErPu3Hf2N6

A relaxed ErPu3Hf2N6 crystal (PBE-GGA, Alexandria).

symmetry: C2/m
uncorrected formation energy: -149.1 kJ per mole of atoms
calculated volume: 163.5 Å³/cell
ρ: 13.6 Mg/m³

Cell and atoms, written as CIF:
```
data_ErPu3Hf2N6
_cell_length_a 5.828
_cell_length_b 5.828
_cell_length_c 5.885
_cell_angle_alpha 99.50
_cell_angle_beta 99.50
_cell_angle_gamma 119.95
_symmetry_space_group_name_H-M 'P 1'
_symmetry_Int_Tables_number 1
loop_
_symmetry_equiv_pos_as_xyz
'x,y,z'
loop_
_atom_site_label
_atom_site_type_symbol
_atom_site_fract_x
_atom_site_fract_y
_atom_site_fract_z
_atom_site_occupancy
Hf1 Hf 0.333 0.667 0.000 1
Hf2 Hf 0.667 0.333 0.000 1
N1 N 0.575 0.923 0.769 1
N2 N 0.425 0.077 0.231 1
N3 N 0.728 0.728 0.228 1
N4 N 0.077 0.425 0.231 1
N5 N 0.272 0.272 0.772 1
N6 N 0.923 0.575 0.769 1
Pu1 Pu 0.500 0.500 0.500 1
Pu2 Pu 0.835 0.165 0.500 1
Pu3 Pu 0.165 0.835 0.500 1
Er1 Er 0.000 0.000 0.000 1
```



(5)
# ErPuHf2N4

A relaxed ErPuHf2N4 crystal (PBE-GGA, Alexandria).

symmetry: P2/m
uncorrected formation energy: -163.5 kJ per mole of atoms
calculated volume: 103.9 Å³/cell
ρ: 13.2 Mg/m³

Cell and atoms, written as CIF:
```
data_ErPuHf2N4
_cell_length_a 3.308
_cell_length_b 5.811
_cell_length_c 5.721
_cell_angle_alpha 70.84
_cell_angle_beta 90.00
_cell_angle_gamma 90.00
_symmetry_space_group_name_H-M 'P 1'
_symmetry_Int_Tables_number 1
loop_
_symmetry_equiv_pos_as_xyz
'x,y,z'
loop_
_atom_site_label
_atom_site_type_symbol
_atom_site_fract_x
_atom_site_fract_y
_atom_site_fract_z
_atom_site_occupancy
N1 N 0.500 0.773 0.245 1
N2 N 0.000 0.774 0.740 1
N3 N 0.500 0.227 0.755 1
N4 N 0.000 0.226 0.260 1
Hf1 Hf 0.000 0.000 0.000 1
Hf2 Hf 0.500 0.000 0.500 1
Pu1 Pu 0.500 0.500 0.000 1
Er1 Er 0.000 0.500 0.500 1
```



(6)
# Er2Hf3ScN6

A relaxed Er2Hf3ScN6 crystal (PBE-GGA, Alexandria).

symmetry: C2/m
uncorrected formation energy: -178.1 kJ per mole of atoms
calculated volume: 148.6 Å³/cell
ρ: 11.2 Mg/m³

Cell and atoms, written as CIF:
```
data_Er2Hf3ScN6
_cell_length_a 3.262
_cell_length_b 6.560
_cell_length_c 7.337
_cell_angle_alpha 103.44
_cell_angle_beta 102.84
_cell_angle_gamma 90.00
_symmetry_space_group_name_H-M 'P 1'
_symmetry_Int_Tables_number 1
loop_
_symmetry_equiv_pos_as_xyz
'x,y,z'
loop_
_atom_site_label
_atom_site_type_symbol
_atom_site_fract_x
_atom_site_fract_y
_atom_site_fract_z
_atom_site_occupancy
N1 N 0.004 0.747 0.009 1
N2 N 0.996 0.253 0.991 1
N3 N 0.668 0.070 0.336 1
N4 N 0.338 0.405 0.676 1
N5 N 0.662 0.595 0.324 1
N6 N 0.332 0.930 0.664 1
Sc1 Sc 0.500 0.000 0.000 1
Er1 Er 0.835 0.669 0.670 1
Er2 Er 0.165 0.331 0.330 1
Hf1 Hf 0.835 0.166 0.671 1
Hf2 Hf 0.500 0.500 0.000 1
Hf3 Hf 0.165 0.834 0.329 1
```



(7)
# ErHf2Sc3N6

A relaxed ErHf2Sc3N6 crystal (PBE-GGA, Alexandria).

symmetry: C2/m
uncorrected formation energy: -182.3 kJ per mole of atoms
calculated volume: 143.8 Å³/cell
ρ: 8.6 Mg/m³

Cell and atoms, written as CIF:
```
data_ErHf2Sc3N6
_cell_length_a 3.237
_cell_length_b 6.476
_cell_length_c 7.225
_cell_angle_alpha 102.68
_cell_angle_beta 102.94
_cell_angle_gamma 90.00
_symmetry_space_group_name_H-M 'P 1'
_symmetry_Int_Tables_number 1
loop_
_symmetry_equiv_pos_as_xyz
'x,y,z'
loop_
_atom_site_label
_atom_site_type_symbol
_atom_site_fract_x
_atom_site_fract_y
_atom_site_fract_z
_atom_site_occupancy
N1 N 0.996 0.738 0.993 1
N2 N 0.329 0.907 0.658 1
N3 N 0.331 0.420 0.662 1
N4 N 0.004 0.262 0.007 1
N5 N 0.669 0.580 0.338 1
N6 N 0.671 0.093 0.342 1
Hf1 Hf 0.167 0.334 0.334 1
Hf2 Hf 0.833 0.666 0.666 1
Sc1 Sc 0.500 0.500 0.000 1
Sc2 Sc 0.167 0.833 0.334 1
Sc3 Sc 0.833 0.167 0.666 1
Er1 Er 0.500 0.000 0.000 1
```



(8)
# Er3Hf3TaN8

A relaxed Er3Hf3TaN8 crystal (PBE-GGA, Alexandria).

symmetry: R-3m
uncorrected formation energy: -160.6 kJ per mole of atoms
calculated volume: 197.8 Å³/cell
ρ: 11.2 Mg/m³

Cell and atoms, written as CIF:
```
data_Er3Hf3TaN8
_cell_length_a 6.466
_cell_length_b 6.465
_cell_length_c 6.617
_cell_angle_alpha 119.24
_cell_angle_beta 90.00
_cell_angle_gamma 120.00
_symmetry_space_group_name_H-M 'P 1'
_symmetry_Int_Tables_number 1
loop_
_symmetry_equiv_pos_as_xyz
'x,y,z'
loop_
_atom_site_label
_atom_site_type_symbol
_atom_site_fract_x
_atom_site_fract_y
_atom_site_fract_z
_atom_site_occupancy
Ta1 Ta 0.000 0.000 0.500 1
Hf1 Hf 0.500 0.500 0.500 1
Hf2 Hf 0.000 0.500 0.500 1
Hf3 Hf 0.500 0.000 0.500 1
N1 N 0.231 0.463 0.716 1
N2 N 0.769 0.015 0.284 1
N3 N 0.769 0.537 0.284 1
N4 N 0.246 0.015 0.284 1
N5 N 0.754 0.985 0.716 1
N6 N 0.256 0.513 0.269 1
N7 N 0.744 0.487 0.731 1
N8 N 0.231 0.985 0.716 1
Er1 Er 0.000 0.500 0.000 1
Er2 Er 0.000 0.000 0.000 1
Er3 Er 0.500 0.500 0.000 1
```



Question: Look up the calculated volume of the eighth one.
Answer: 197.8 Å³/cell



Please write out number 3 again, unchanged.
# Pr2ErHfN4

A relaxed Pr2ErHfN4 crystal (PBE-GGA, Alexandria).

symmetry: P2/m
uncorrected formation energy: -148.7 kJ per mole of atoms
calculated volume: 119.9 Å³/cell
ρ: 9.5 Mg/m³

Cell and atoms, written as CIF:
```
data_Pr2ErHfN4
_cell_length_a 3.458
_cell_length_b 6.108
_cell_length_c 6.001
_cell_angle_alpha 71.08
_cell_angle_beta 90.00
_cell_angle_gamma 90.00
_symmetry_space_group_name_H-M 'P 1'
_symmetry_Int_Tables_number 1
loop_
_symmetry_equiv_pos_as_xyz
'x,y,z'
loop_
_atom_site_label
_atom_site_type_symbol
_atom_site_fract_x
_atom_site_fract_y
_atom_site_fract_z
_atom_site_occupancy
Hf1 Hf 0.500 0.500 0.000 1
N1 N 0.500 0.720 0.245 1
N2 N 0.500 0.280 0.755 1
N3 N 0.000 0.715 0.773 1
N4 N 0.000 0.285 0.227 1
Pr1 Pr 0.500 0.000 0.500 1
Pr2 Pr 0.000 0.000 0.000 1
Er1 Er 0.000 0.500 0.500 1
```



Question: ρ of number 2 (PrErHfN3)?
Answer: 10.1 Mg/m³



Question: Among the records above, which one has the lowest calculated volume?
Answer: ErPuHf2N4